Density functional theory data (PBE-GGA) for an optimized crystal structure of ErScAlOs.

The density of states at the Fermi level is 2.4 states/eV/f.u. The value obtained for the energy relative to the elements is -0.37 eV/atom. The calculation puts the magnetic moment at 0.0 μB/f.u.

It has space group F-43m (No. 216), with a = 6.752 Å, b = 6.752 Å, c = 6.752 Å, α = 90.00°, β = 90.00° and γ = 90.00°. The distinct sites, in fractional coordinates, are Er at (0.000, 0.000, 0.000), Sc at (0.000, 0.000, 0.500), Al at (0.250, 0.250, 0.750) and Os at (0.250, 0.250, 0.250).

Density functional theory data (PBE-GGA) for an optimized crystal structure of ErTmAlOs.

The density of states at the Fermi level is 2.0 states/eV/f.u. The value obtained for the energy relative to the elements is -0.32 eV/atom. The calculation puts the magnetic moment at 0.0 μB/f.u.

It has space group F-43m (No. 216), with a = 6.906 Å, b = 6.906 Å, c = 6.906 Å, α = 90.00°, β = 90.00° and γ = 90.00°. The distinct sites, in fractional coordinates, are Er at (0.000, 0.000, 0.000), Tm at (0.000, 0.000, 0.500), Al at (0.250, 0.250, 0.750) and Os at (0.250, 0.250, 0.250).

Density functional theory data (PBE-GGA) for an optimized crystal structure of YErAlOs.

The density of states at the Fermi level is 1.9 states/eV/f.u. The value obtained for the energy relative to the elements is -0.29 eV/atom. The calculation puts the magnetic moment at 0.0 μB/f.u.

It has space group F-43m (No. 216), with a = 6.963 Å, b = 6.963 Å, c = 6.963 Å, α = 90.00°, β = 90.00° and γ = 90.00°. The distinct sites, in fractional coordinates, are Y at (0.000, 0.000, 0.000), Er at (0.000, 0.000, 0.500), Al at (0.250, 0.250, 0.750) and Os at (0.250, 0.250, 0.250).

Density functional theory data (PBE-GGA) for an optimized crystal structure of Er2AlP.

The density of states at the Fermi level is 5.1 states/eV/f.u. The value obtained for the energy relative to the elements is -0.40 eV/atom. The calculation puts the magnetic moment at 0.0 μB/f.u.

It has space group R-3m (No. 166, hexagonal axes), with a = 3.7309 Å, b = 3.7309 Å, c = 27.9702 Å, α = 90.00°, β = 90.00° and γ = 120.00°. The distinct sites, in fractional coordinates, are Er at (0.0000, 0.0000, 0.1094), Al at (0.0000, 0.0000, 0.0000) and P at (0.0000, 0.0000, 0.5000).